Entry 1:
VASP calculation (PBE) on a relaxed structure of SmBe5Cu7.

Lattice parameters (Å, degrees): 6.249 6.249 6.249 137.59 97.36 97.68
Fractional coordinates of all 13 atoms:
Sm  0.000  0.000  0.000
Be  0.500  0.497  0.505
Be  0.500  0.995  0.003
Be  0.756  0.256  0.500
Be  0.992  0.497  0.997
Be  0.992  0.995  0.495
Cu  0.212  0.492  0.720
Cu  0.226  0.726  0.500
Cu  0.353  0.353  0.000
Cu  0.355  0.002  0.353
Cu  0.649  0.002  0.647
Cu  0.651  0.651  0.000
Cu  0.772  0.492  0.280

Summary:
As for the space-group type: Imm2, No. 44. Its total magnetization is 0.00 μB per cell. Its volume is 153.4 Å³/f.u. The value obtained for the calculated total energy is -0.3022 Ry/atom.

Entry 2:
VASP calculation (PBE) on a relaxed structure of SmBe2Cu5.

Lattice parameters (Å, degrees): 5.912 5.912 5.912 144.79 110.32 80.54
Fractional coordinates of all 8 atoms:
Sm  0.000  0.000  0.000
Be  0.254  0.754  0.500
Be  0.746  0.246  0.500
Cu  0.159  0.345  0.813
Cu  0.468  0.655  0.813
Cu  0.500  0.000  0.500
Cu  0.532  0.345  0.187
Cu  0.841  0.655  0.187

Summary:
As for the space-group type: Immm, No. 71. Its total magnetization is 0.00 μB per cell. Its volume is 109.0 Å³/f.u. The value obtained for the calculated total energy is -0.3050 Ry/atom.

Entry 3:
VASP calculation (PBE) on a relaxed structure of TbSmBeCu.

Lattice parameters (Å, degrees): 4.939 4.939 4.939 60.00 60.00 60.00
Fractional coordinates of all 4 atoms:
Tb  0.000  0.000  0.000
Sm  0.500  0.500  0.500
Be  0.750  0.750  0.750
Cu  0.250  0.250  0.250

Summary:
As for the space-group type: F-43m, No. 216. Its total magnetization is 0.00 μB per cell. Its volume is 85.2 Å³/f.u. The value obtained for the calculated total energy is -0.3170 Ry/atom.

Entry 4:
VASP calculation (PBE) on a relaxed structure of Sm2BeZn12Cu3.

Lattice parameters (Å, degrees): 11.245 11.245 11.245 30.03 30.03 30.03
Fractional coordinates of all 18 atoms:
Sm  0.141  0.141  0.141
Sm  0.859  0.859  0.859
Be  0.500  0.500  0.500
Zn  0.096  0.096  0.649
Zn  0.096  0.649  0.096
Zn  0.121  0.605  0.605
Zn  0.351  0.904  0.904
Zn  0.395  0.395  0.879
Zn  0.395  0.879  0.395
Zn  0.605  0.121  0.605
Zn  0.605  0.605  0.121
Zn  0.649  0.096  0.096
Zn  0.879  0.395  0.395
Zn  0.904  0.351  0.904
Zn  0.904  0.904  0.351
Cu  0.000  0.500  0.500
Cu  0.500  0.000  0.500
Cu  0.500  0.500  0.000

Summary:
As for the space-group type: R-3m, No. 166. Its total magnetization is 0.00 μB per cell. Its volume is 315.5 Å³/f.u. The value obtained for the calculated total energy is -0.1646 Ry/atom.

Entry 5:
VASP calculation (PBE) on a relaxed structure of Sm2BeZn3Cu12.

Lattice parameters (Å, degrees): 9.170 9.170 9.170 40.06 40.06 40.06
Fractional coordinates of all 18 atoms:
Sm  0.154  0.154  0.154
Sm  0.846  0.846  0.846
Be  0.500  0.500  0.500
Zn  0.000  0.500  0.500
Zn  0.500  0.000  0.500
Zn  0.500  0.500  0.000
Cu  0.078  0.078  0.690
Cu  0.078  0.690  0.078
Cu  0.161  0.569  0.569
Cu  0.310  0.922  0.922
Cu  0.431  0.431  0.839
Cu  0.431  0.839  0.431
Cu  0.569  0.161  0.569
Cu  0.569  0.569  0.161
Cu  0.690  0.078  0.078
Cu  0.839  0.431  0.431
Cu  0.922  0.310  0.922
Cu  0.922  0.922  0.310

Summary:
As for the space-group type: R-3m, No. 166. Its total magnetization is 0.00 μB per cell. Its volume is 287.8 Å³/f.u. The value obtained for the calculated total energy is -0.2617 Ry/atom.

Entry 6:
VASP calculation (PBE) on a relaxed structure of Sm2Be3ZnCu12.

Lattice parameters (Å, degrees): 7.323 7.323 7.323 61.78 61.78 61.78
Fractional coordinates of all 18 atoms:
Sm  0.105  0.105  0.105
Sm  0.895  0.895  0.895
Be  0.000  0.500  0.500
Be  0.500  0.000  0.500
Be  0.500  0.500  0.000
Zn  0.500  0.500  0.500
Cu  0.110  0.625  0.625
Cu  0.162  0.162  0.599
Cu  0.162  0.599  0.162
Cu  0.375  0.375  0.890
Cu  0.375  0.890  0.375
Cu  0.401  0.838  0.838
Cu  0.599  0.162  0.162
Cu  0.625  0.110  0.625
Cu  0.625  0.625  0.110
Cu  0.838  0.401  0.838
Cu  0.838  0.838  0.401
Cu  0.890  0.375  0.375

Summary:
As for the space-group type: R-3m, No. 166. Its total magnetization is 0.00 μB per cell. Its volume is 288.7 Å³/f.u. The value obtained for the calculated total energy is -0.2680 Ry/atom.

Entry 7:
VASP calculation (PBE) on a relaxed structure of SmBeZnCu6.

Lattice parameters (Å, degrees): 8.187 8.187 8.187 143.16 123.87 69.05
Fractional coordinates of all 18 atoms:
Sm  0.252  0.002  0.250
Sm  0.748  0.998  0.750
Be  0.500  0.000  0.000
Be  0.500  0.500  0.500
Zn  0.000  0.500  0.500
Zn  0.500  0.500  0.000
Cu  0.003  0.753  0.250
Cu  0.147  0.402  0.232
Cu  0.147  0.915  0.745
Cu  0.330  0.085  0.732
Cu  0.330  0.598  0.245
Cu  0.365  0.615  0.750
Cu  0.635  0.385  0.250
Cu  0.670  0.402  0.755
Cu  0.670  0.915  0.268
Cu  0.853  0.085  0.255
Cu  0.853  0.598  0.768
Cu  0.997  0.247  0.750

Summary:
As for the space-group type: Imma, No. 74. Its total magnetization is 0.00 μB per cell. Its volume is 134.4 Å³/f.u. The value obtained for the calculated total energy is -0.2805 Ry/atom.

Entry 8:
VASP calculation (PBE) on a relaxed structure of BeCu2Sn2.

Lattice parameters (Å, degrees): 6.463 6.463 4.114 90.00 90.00 90.00
Fractional coordinates of all 10 atoms:
Be  0.000  0.000  0.000
Be  0.500  0.500  0.000
Cu  0.143  0.357  0.000
Cu  0.357  0.857  0.000
Cu  0.643  0.143  0.000
Cu  0.857  0.643  0.000
Sn  0.171  0.671  0.500
Sn  0.329  0.171  0.500
Sn  0.671  0.829  0.500
Sn  0.829  0.329  0.500

Summary:
As for the space-group type: P4/mbm, No. 127. Its total magnetization is 0.00 μB per cell. Its volume is 85.9 Å³/f.u. The value obtained for the calculated total energy is -0.2724 Ry/atom.

Entry 9:
VASP calculation (PBE) on a relaxed structure of BeCuSn3.

Lattice parameters (Å, degrees): 4.891 4.891 4.891 90.00 90.00 90.00
Fractional coordinates of all 5 atoms:
Be  0.000  0.000  0.000
Cu  0.500  0.500  0.500
Sn  0.000  0.000  0.500
Sn  0.000  0.500  0.000
Sn  0.500  0.000  0.000

Summary:
As for the space-group type: Pm-3m, No. 221. Its total magnetization is 0.00 μB per cell. The offset from the most stable computed form comes out at 0 meV/atom. Its volume is 117.0 Å³/f.u. The value obtained for the calculated total energy is -0.2509 Ry/atom.

Entry 10:
VASP calculation (PBE) on a relaxed structure of Be3CuSn.

Lattice parameters (Å, degrees): 4.551 4.551 4.551 90.00 90.00 90.00
Fractional coordinates of all 5 atoms:
Be  0.000  0.000  0.500
Be  0.000  0.500  0.000
Be  0.500  0.000  0.000
Cu  0.500  0.500  0.500
Sn  0.000  0.000  0.000

Summary:
As for the space-group type: Pm-3m, No. 221. Its total magnetization is 0.00 μB per cell. The offset from the most stable computed form comes out at 810 meV/atom. Its volume is 94.3 Å³/f.u. The value obtained for the calculated total energy is -0.1817 Ry/atom.

Entry 11:
VASP calculation (PBE) on a relaxed structure of BeCuSn3.

Lattice parameters (Å, degrees): 5.058 5.058 5.058 90.00 90.00 90.00
Fractional coordinates of all 5 atoms:
Be  0.000  0.000  0.000
Cu  0.500  0.500  0.500
Sn  0.000  0.500  0.500
Sn  0.500  0.000  0.500
Sn  0.500  0.500  0.000

Summary:
As for the space-group type: Pm-3m, No. 221. Its total magnetization is 0.00 μB per cell. The offset from the most stable computed form comes out at 175 meV/atom. Its volume is 129.4 Å³/f.u. The value obtained for the calculated total energy is -0.2381 Ry/atom.

Entry 12:
VASP calculation (PBE) on a relaxed structure of BeCu3Sn.

Lattice parameters (Å, degrees): 4.186 4.186 4.186 90.00 90.00 90.00
Fractional coordinates of all 5 atoms:
Be  0.000  0.000  0.000
Cu  0.000  0.000  0.500
Cu  0.000  0.500  0.000
Cu  0.500  0.000  0.000
Sn  0.500  0.500  0.500

Summary:
As for the space-group type: Pm-3m, No. 221. Its total magnetization is 0.00 μB per cell. Its volume is 73.4 Å³/f.u. The value obtained for the calculated total energy is -0.2713 Ry/atom.